Record 1
Material: Cr5Ir6Os
Method: DFT, PBE
State: optimized geometry

```
12
Lattice="-1.899 3.760 5.700 1.899 -3.760 5.700 1.899 3.760 -5.700" Properties=species:S:1:pos:R:3 pbc="T T T"
Cr 0.000 0.000 0.000
Cr 1.899 0.000 1.887
Cr 0.000 0.000 3.820
Cr 0.000 0.000 7.581
Cr 0.000 3.760 3.814
Ir 1.899 -1.895 3.791
Ir 1.899 1.854 0.000
Ir 0.000 1.864 1.909
Ir 1.899 1.895 3.791
Ir 0.000 1.906 5.700
Ir 0.000 5.655 1.909
Os 0.000 3.760 0.000
```

Results
Formation energy from the elements   -0.175 eV/atom
Symmetry   Immm (71)
Energy   -114.6 eV for the cell shown

---

Record 2
Material: Cr2IrOs
Method: DFT, PBE
State: optimized geometry

```
4
Lattice="2.625 0.000 0.000 0.000 4.242 0.000 -0.410 0.000 4.853" Properties=species:S:1:pos:R:3 pbc="T T T"
Cr 0.262 0.000 1.141
Cr 1.954 0.000 3.712
Ir 1.313 2.121 0.000
Os -0.205 2.121 2.427
```

Results
Distance to the lowest polymorph of the same formula   291 meV per atom
Formation energy from the elements   0.252 eV/atom
Symmetry   P2/m (10)
Energy   -38.3 eV for the cell shown

---

Record 3
Material: Cr3Ir2Os2
Method: DFT, PBE
State: optimized geometry

```
14
Lattice="-3.679 3.679 3.679 3.679 -3.679 3.679 3.679 3.679 -3.679" Properties=species:S:1:pos:R:3 pbc="T T T"
Cr 3.679 -1.839 2.385
Cr 2.385 3.679 -1.839
Cr 3.679 1.839 1.294
Cr 1.839 1.294 3.679
Cr 1.294 3.679 1.839
Cr -1.839 2.385 3.679
Ir 4.029 -0.350 0.350
Ir 0.350 4.029 -0.350
Ir -0.350 0.350 4.029
Ir 3.329 3.329 3.329
Os 2.536 1.143 -1.143
Os 1.143 -1.143 2.536
Os 1.143 1.143 1.143
Os -1.143 2.536 1.143
```

Results
Formation energy from the elements   0.406 eV/atom
Symmetry   I2_13 (199)
Energy   -132.4 eV for the cell shown

---

Record 4
Material: Cr2IrOs
Method: DFT, PBE
State: optimized geometry

```
4
Lattice="4.365 -1.333 0.000 4.365 1.333 0.000 -0.813 0.000 4.560" Properties=species:S:1:pos:R:3 pbc="T T T"
Cr 1.972 0.000 1.148
Cr 5.945 0.000 3.411
Ir 4.365 0.000 0.000
Os -0.406 0.000 2.280
```

Results
Distance to the lowest polymorph of the same formula   71 meV per atom
Formation energy from the elements   0.032 eV/atom
Symmetry   C2/m (12)
Energy   -39.2 eV for the cell shown